A relaxed structure of Hf2MgZrRh4. Source: Alexandria via LeMat-Bulk, functional GGA-PBE.

Cell and atoms, written as POSCAR:
```
Hf2MgZrRh4
1.0
-0.052 -1.835 4.212
-2.917 -3.410 0.985
4.159 -6.766 -0.391
Hf Rh Zr Mg
2 4 1 1
direct
0.755 0.755 0.735
0.245 0.245 0.265
0.628 0.628 0.117
0.878 0.878 0.367
0.372 0.372 0.883
0.122 0.122 0.633
0.000 0.000 0.000
0.500 0.500 0.500
```

DFT formation energy in meV per atom: -837
E_tot in eV/atom: -8.269
Total moment in μB/atom: 0.000

A relaxed structure of NaCaAl2Ge2. Source: Alexandria via LeMat-Bulk, functional GGA-PBE.

Cell and atoms, written as POSCAR:
```
NaCaAl2Ge2
1.0
-0.849 1.243 -3.970
3.803 -1.632 0.946
-3.131 -8.437 -1.972
Na Ca Ge Al
1 1 2 2
direct
0.000 0.000 0.000
0.000 0.000 0.500
0.667 0.333 0.740
0.333 0.667 0.260
0.667 0.333 0.255
0.333 0.667 0.745
```

DFT formation energy in meV per atom: -247
E_tot in eV/atom: -3.587
Total moment in μB/atom: 0.000

A relaxed structure of SbPtSN2. Source: Alexandria via LeMat-Bulk, functional GGA-PBE.

Cell and atoms, written as POSCAR:
```
SbPtSN2
1.0
3.957 0.000 0.000
0.000 3.957 0.000
0.000 0.000 5.067
S Sb N Pt
1 1 2 1
direct
0.000 0.000 0.500
0.500 0.500 0.500
0.000 0.500 0.000
0.500 0.000 0.000
0.000 0.000 0.000
```

E_tot in eV/atom: -5.009
Total moment in μB/atom: 0.278
Uncorrected formation energy in kJ/mol of formula units: 569
Relative energy among the computed polymorphs in eV per atom: 0.000

A relaxed structure of NaNb2VSi. Source: Alexandria via LeMat-Bulk, functional GGA-PBE.

Cell and atoms, written as POSCAR:
```
NaNb2VSi
1.0
4.608 0.000 0.000
0.000 4.925 0.000
0.000 0.000 4.608
Na Si Nb V
1 1 2 1
direct
0.000 0.500 0.000
0.500 0.500 0.500
0.000 0.000 0.500
0.500 0.000 0.000
0.000 0.000 0.000
```

E_tot in eV/atom: -5.858
Total moment in μB/atom: 0.000
Uncorrected formation energy in kJ/mol of formula units: 648